[1]
Entry from Alexandria via LeMat-Bulk: a relaxed structure of ErBe4Pd (GGA-PBE).

Cell: 4.713 4.713 4.713 Å, 60.00 60.00 60.00°
Sites, in units of the cell vectors:
1 Er 0.000 0.000 0.000
2 Be 0.377 0.377 0.377
3 Be 0.377 0.377 0.868
4 Be 0.377 0.868 0.377
5 Be 0.868 0.377 0.377
6 Pd 0.750 0.750 0.750

Computed properties:
Size of the total moment   0.000 μB per cell
Calculated volume   74 Å³/cell
Density of states at the Fermi level   3.44 states/eV/cell
Energy relative to the elements   -201 meV/atom

[2]
Entry from Alexandria via LeMat-Bulk: a relaxed structure of Er3Be6Pd20 (GGA-PBE).

Cell: 8.455 8.455 8.455 Å, 60.00 60.00 60.00°
Sites, in units of the cell vectors:
1 Er 0.000 0.000 0.000
2 Er 0.250 0.250 0.250
3 Er 0.750 0.750 0.750
4 Be 0.272 0.272 0.728
5 Be 0.272 0.728 0.272
6 Be 0.272 0.728 0.728
7 Be 0.728 0.272 0.272
8 Be 0.728 0.272 0.728
9 Be 0.728 0.728 0.272
10 Pd 0.000 0.000 0.341
11 Pd 0.000 0.000 0.659
12 Pd 0.000 0.341 0.000
13 Pd 0.000 0.341 0.659
14 Pd 0.000 0.659 0.000
15 Pd 0.000 0.659 0.341
16 Pd 0.147 0.618 0.618
17 Pd 0.341 0.000 0.000
18 Pd 0.341 0.000 0.659
19 Pd 0.341 0.659 0.000
20 Pd 0.382 0.382 0.382
21 Pd 0.382 0.382 0.853
22 Pd 0.382 0.853 0.382
23 Pd 0.618 0.147 0.618
24 Pd 0.618 0.618 0.147
25 Pd 0.618 0.618 0.618
26 Pd 0.659 0.000 0.000
27 Pd 0.659 0.000 0.341
28 Pd 0.659 0.341 0.000
29 Pd 0.853 0.382 0.382

Computed properties:
Size of the total moment   0.000 μB per cell
Calculated volume   427 Å³/cell
Density of states at the Fermi level   6.83 states/eV/cell
Energy relative to the elements   -664 meV/atom

[3]
Entry from Alexandria via LeMat-Bulk: a relaxed structure of ErBe4Pd8 (GGA-PBE).

Cell: 6.481 6.481 6.481 Å, 98.94 98.94 133.56°
Sites, in units of the cell vectors:
1 Er 0.000 0.000 0.000
2 Be 0.000 0.000 0.500
3 Be 0.000 0.500 0.000
4 Be 0.500 0.000 0.000
5 Be 0.500 0.500 0.500
6 Pd 0.000 0.332 0.332
7 Pd 0.000 0.668 0.668
8 Pd 0.276 0.500 0.776
9 Pd 0.332 0.000 0.332
10 Pd 0.500 0.276 0.776
11 Pd 0.500 0.724 0.224
12 Pd 0.668 0.000 0.668
13 Pd 0.724 0.500 0.224

Computed properties:
Size of the total moment   0.000 μB per cell
Calculated volume   181 Å³/cell
Density of states at the Fermi level   5.43 states/eV/cell
Energy relative to the elements   -548 meV/atom

[4]
Entry from Alexandria via LeMat-Bulk: a relaxed structure of Er2BePd (GGA-PBE).

Cell: 3.448 3.448 6.775 Å, 90.00 90.00 90.00°
Sites, in units of the cell vectors:
1 Er 0.000 0.000 0.243
2 Er 0.000 0.000 0.757
3 Be 0.500 0.500 0.000
4 Pd 0.500 0.500 0.500

Computed properties:
Size of the total moment   0.000 μB per cell
Calculated volume   81 Å³/cell
Density of states at the Fermi level   1.78 states/eV/cell
Energy relative to the elements   -435 meV/atom

[5]
Entry from Alexandria via LeMat-Bulk: a relaxed structure of ErBePd2 (GGA-PBE).

Cell: 4.088 17.147 3.878 Å, 90.00 90.00 90.00°
Sites, in units of the cell vectors:
1 Er 0.000 0.145 0.000
2 Er 0.000 0.855 0.000
3 Er 0.500 0.355 0.000
4 Er 0.500 0.645 0.000
5 Be 0.000 0.430 0.500
6 Be 0.000 0.570 0.500
7 Be 0.500 0.070 0.500
8 Be 0.500 0.930 0.500
9 Pd 0.000 0.000 0.500
10 Pd 0.000 0.300 0.500
11 Pd 0.000 0.500 0.000
12 Pd 0.000 0.700 0.500
13 Pd 0.500 0.000 0.000
14 Pd 0.500 0.200 0.500
15 Pd 0.500 0.500 0.500
16 Pd 0.500 0.800 0.500

Computed properties:
Size of the total moment   0.000 μB per cell
Calculated volume   272 Å³/cell
Density of states at the Fermi level   5.89 states/eV/cell
Energy relative to the elements   -741 meV/atom

[6]
Entry from Alexandria via LeMat-Bulk: a relaxed structure of ErBePd4 (GGA-PBE).

Cell: 8.965 3.291 7.386 Å, 90.00 111.81 90.00°
Sites, in units of the cell vectors:
1 Er 0.000 0.000 0.000
2 Er 0.500 0.500 0.000
3 Be 0.000 0.500 0.500
4 Be 0.500 0.000 0.500
5 Pd 0.121 0.000 0.404
6 Pd 0.163 0.500 0.821
7 Pd 0.337 0.000 0.179
8 Pd 0.379 0.500 0.596
9 Pd 0.621 0.500 0.404
10 Pd 0.663 0.000 0.821
11 Pd 0.837 0.500 0.179
12 Pd 0.879 0.000 0.596

Computed properties:
Size of the total moment   0.000 μB per cell
Calculated volume   202 Å³/cell
Density of states at the Fermi level   4.89 states/eV/cell
Energy relative to the elements   -459 meV/atom

[7]
Entry from Alexandria via LeMat-Bulk: a relaxed structure of Er2BePd8 (GGA-PBE).

Cell: 7.763 7.763 7.763 Å, 145.65 135.57 57.33°
Sites, in units of the cell vectors:
1 Er 0.190 0.190 0.000
2 Er 0.810 0.810 0.000
3 Be 0.500 0.500 0.000
4 Pd 0.122 0.377 0.745
5 Pd 0.254 0.000 0.254
6 Pd 0.321 0.821 0.500
7 Pd 0.368 0.623 0.745
8 Pd 0.632 0.377 0.255
9 Pd 0.679 0.179 0.500
10 Pd 0.746 0.000 0.746
11 Pd 0.878 0.623 0.255

Computed properties:
Size of the total moment   0.000 μB per cell
Calculated volume   183 Å³/cell
Density of states at the Fermi level   3.58 states/eV/cell
Energy relative to the elements   -651 meV/atom

[8]
Entry from Alexandria via LeMat-Bulk: a relaxed structure of ErBe2Pd8 (GGA-PBE).

Cell: 6.455 6.455 4.464 Å, 98.83 98.83 111.13°
Sites, in units of the cell vectors:
1 Er 0.000 0.000 0.000
2 Be 0.315 0.685 0.500
3 Be 0.685 0.315 0.500
4 Pd 0.069 0.330 0.590
5 Pd 0.258 0.742 0.000
6 Pd 0.330 0.069 0.590
7 Pd 0.395 0.395 0.200
8 Pd 0.605 0.605 0.800
9 Pd 0.670 0.931 0.410
10 Pd 0.742 0.258 0.000
11 Pd 0.931 0.670 0.410

Computed properties:
Size of the total moment   0.000 μB per cell
Calculated volume   167 Å³/cell
Density of states at the Fermi level   5.35 states/eV/cell
Energy relative to the elements   -484 meV/atom

[9]
Entry from Alexandria via LeMat-Bulk: a relaxed structure of ErBePd2 (GGA-PBE).

Cell: 4.112 4.112 14.201 Å, 90.00 90.00 120.00°
Sites, in units of the cell vectors:
1 Er 0.000 0.000 0.000
2 Er 0.333 0.667 0.667
3 Er 0.667 0.333 0.333
4 Be 0.000 0.000 0.500
5 Be 0.333 0.667 0.167
6 Be 0.667 0.333 0.833
7 Pd 0.000 0.000 0.213
8 Pd 0.000 0.000 0.787
9 Pd 0.333 0.667 0.453
10 Pd 0.333 0.667 0.880
11 Pd 0.667 0.333 0.120
12 Pd 0.667 0.333 0.547

Computed properties:
Size of the total moment   0.000 μB per cell
Calculated volume   208 Å³/cell
Density of states at the Fermi level   5.49 states/eV/cell
Energy relative to the elements   -654 meV/atom

[10]
Entry from Alexandria via LeMat-Bulk: a relaxed structure of Er2Be2Pd5 (GGA-PBE).

Cell: 4.036 4.036 8.896 Å, 90.00 90.00 90.00°
Sites, in units of the cell vectors:
1 Er 0.000 0.000 0.000
2 Er 0.000 0.000 0.500
3 Be 0.500 0.500 0.132
4 Be 0.500 0.500 0.868
5 Pd 0.000 0.500 0.257
6 Pd 0.000 0.500 0.743
7 Pd 0.500 0.000 0.257
8 Pd 0.500 0.000 0.743
9 Pd 0.500 0.500 0.500

Computed properties:
Size of the total moment   0.000 μB per cell
Calculated volume   145 Å³/cell
Density of states at the Fermi level   3.67 states/eV/cell
Energy relative to the elements   -761 meV/atom

[11]
Entry from Alexandria via LeMat-Bulk: a relaxed structure of Er3Be2Pd5 (GGA-PBE).

Cell: 9.740 9.740 3.604 Å, 90.00 90.00 90.00°
Sites, in units of the cell vectors:
1 Er 0.000 0.000 0.000
2 Er 0.177 0.323 0.000
3 Er 0.323 0.823 0.000
4 Er 0.500 0.500 0.000
5 Er 0.677 0.177 0.000
6 Er 0.823 0.677 0.000
7 Be 0.116 0.616 0.000
8 Be 0.384 0.116 0.000
9 Be 0.616 0.884 0.000
10 Be 0.884 0.384 0.000
11 Pd 0.000 0.500 0.500
12 Pd 0.071 0.777 0.500
13 Pd 0.223 0.071 0.500
14 Pd 0.277 0.571 0.500
15 Pd 0.429 0.277 0.500
16 Pd 0.500 0.000 0.500
17 Pd 0.571 0.723 0.500
18 Pd 0.723 0.429 0.500
19 Pd 0.777 0.929 0.500
20 Pd 0.929 0.223 0.500

Computed properties:
Size of the total moment   0.000 μB per cell
Calculated volume   342 Å³/cell
Density of states at the Fermi level   8.42 states/eV/cell
Energy relative to the elements   -815 meV/atom

[12]
Entry from Alexandria via LeMat-Bulk: a relaxed structure of ErBePd (GGA-PBE).

Cell: 4.049 4.049 3.795 Å, 90.00 90.00 120.00°
Sites, in units of the cell vectors:
1 Er 0.000 0.000 0.000
2 Be 0.333 0.667 0.500
3 Pd 0.667 0.333 0.500

Computed properties:
Size of the total moment   0.000 μB per cell
Calculated volume   54 Å³/cell
Density of states at the Fermi level   1.98 states/eV/cell
Energy relative to the elements   -553 meV/atom

[13]
Entry from Alexandria via LeMat-Bulk: a relaxed structure of ErBePd5 (GGA-PBE).

Cell: 4.021 4.021 6.909 Å, 90.00 90.00 90.00°
Sites, in units of the cell vectors:
1 Er 0.000 0.000 0.000
2 Be 0.500 0.500 0.500
3 Pd 0.000 0.500 0.303
4 Pd 0.000 0.500 0.697
5 Pd 0.500 0.000 0.303
6 Pd 0.500 0.000 0.697
7 Pd 0.500 0.500 0.000

Computed properties:
Size of the total moment   0.000 μB per cell
Calculated volume   112 Å³/cell
Density of states at the Fermi level   7.07 states/eV/cell
Energy relative to the elements   -600 meV/atom

[14]
Entry from Alexandria via LeMat-Bulk: a relaxed structure of Pm2ErBePd6 (GGA-PBE).

Cell: 6.642 6.642 6.642 Å, 120.03 119.91 90.05°
Sites, in units of the cell vectors:
1 Pm 0.250 0.250 0.000
2 Pm 0.750 0.750 0.000
3 Er 0.500 0.000 0.500
4 Be 0.000 0.500 0.500
5 Pd 0.225 0.275 0.499
6 Pd 0.225 0.725 0.500
7 Pd 0.225 0.725 0.950
8 Pd 0.775 0.275 0.050
9 Pd 0.775 0.275 0.500
10 Pd 0.775 0.725 0.501

Computed properties:
Size of the total moment   0.000 μB per cell
Calculated volume   207 Å³/cell
Density of states at the Fermi level   4.55 states/eV/cell
Energy relative to the elements   -464 meV/atom

[15]
Entry from Alexandria via LeMat-Bulk: a relaxed structure of Pr2ErBePd6 (GGA-PBE).

Cell: 6.680 6.680 6.680 Å, 120.04 119.90 90.05°
Sites, in units of the cell vectors:
1 Pr 0.250 0.250 0.000
2 Pr 0.750 0.750 0.000
3 Er 0.500 0.000 0.500
4 Be 0.000 0.500 0.500
5 Pd 0.224 0.275 0.499
6 Pd 0.224 0.725 0.949
7 Pd 0.225 0.725 0.500
8 Pd 0.775 0.275 0.500
9 Pd 0.776 0.275 0.051
10 Pd 0.776 0.725 0.501

Computed properties:
Size of the total moment   0.000 μB per cell
Calculated volume   211 Å³/cell
Density of states at the Fermi level   5.08 states/eV/cell
Energy relative to the elements   -472 meV/atom

[16]
Entry from Alexandria via LeMat-Bulk: a relaxed structure of PrErBe2Pd5 (GGA-PBE).

Cell: 4.085 4.085 9.070 Å, 90.00 90.00 90.00°
Sites, in units of the cell vectors:
1 Pr 0.000 0.000 0.000
2 Er 0.000 0.000 0.500
3 Be 0.500 0.500 0.370
4 Be 0.500 0.500 0.630
5 Pd 0.000 0.500 0.251
6 Pd 0.000 0.500 0.749
7 Pd 0.500 0.000 0.251
8 Pd 0.500 0.000 0.749
9 Pd 0.500 0.500 0.000

Computed properties:
Size of the total moment   0.000 μB per cell
Calculated volume   151 Å³/cell
Density of states at the Fermi level   3.19 states/eV/cell
Energy relative to the elements   -680 meV/atom

[17]
Entry from Alexandria via LeMat-Bulk: a relaxed structure of Er2Be3PdPt4 (GGA-PBE).

Cell: 3.926 3.926 10.452 Å, 90.00 90.00 90.00°
Sites, in units of the cell vectors:
1 Er 0.000 0.500 0.244
2 Er 0.500 0.000 0.756
3 Be 0.000 0.500 0.883
4 Be 0.500 0.000 0.117
5 Be 0.500 0.500 0.500
6 Pd 0.000 0.000 0.500
7 Pt 0.000 0.000 0.000
8 Pt 0.000 0.500 0.669
9 Pt 0.500 0.000 0.331
10 Pt 0.500 0.500 0.000

Computed properties:
Size of the total moment   0.000 μB per cell
Calculated volume   161 Å³/cell
Density of states at the Fermi level   2.93 states/eV/cell
Energy relative to the elements   -885 meV/atom

[18]
Entry from Alexandria via LeMat-Bulk: a relaxed structure of Er2BeSi4Pd3 (GGA-PBE).

Cell: 3.955 3.955 10.586 Å, 90.00 90.00 90.00°
Sites, in units of the cell vectors:
1 Er 0.000 0.500 0.237
2 Er 0.500 0.000 0.763
3 Be 0.500 0.500 0.000
4 Si 0.000 0.000 0.500
5 Si 0.000 0.500 0.867
6 Si 0.500 0.000 0.133
7 Si 0.500 0.500 0.500
8 Pd 0.000 0.000 0.000
9 Pd 0.000 0.500 0.638
10 Pd 0.500 0.000 0.362

Computed properties:
Size of the total moment   0.000 μB per cell
Calculated volume   166 Å³/cell
Density of states at the Fermi level   4.14 states/eV/cell
Total energy   -5.766 eV/atom

[19]
Entry from Alexandria via LeMat-Bulk: a relaxed structure of Er2BeSiPd6 (GGA-PBE).

Cell: 5.678 5.851 6.791 Å, 68.16 65.37 61.03°
Sites, in units of the cell vectors:
1 Er 0.206 0.256 0.315
2 Er 0.794 0.744 0.685
3 Be 0.000 0.000 0.000
4 Si 0.500 0.500 0.500
5 Pd 0.231 0.787 0.241
6 Pd 0.261 0.663 0.840
7 Pd 0.271 0.209 0.774
8 Pd 0.729 0.791 0.226
9 Pd 0.739 0.337 0.160
10 Pd 0.769 0.213 0.759

Computed properties:
Size of the total moment   0.000 μB per cell
Calculated volume   175 Å³/cell
Density of states at the Fermi level   3.29 states/eV/cell
Total energy   -5.655 eV/atom

[20]
Entry from Alexandria via LeMat-Bulk: a relaxed structure of ErBe2SiPd2 (GGA-PBE).

Cell: 4.112 4.112 5.587 Å, 90.00 90.00 90.00°
Sites, in units of the cell vectors:
1 Er 0.000 0.000 0.000
2 Be 0.000 0.500 0.500
3 Be 0.500 0.000 0.500
4 Si 0.000 0.000 0.500
5 Pd 0.500 0.500 0.248
6 Pd 0.500 0.500 0.752

Computed properties:
Size of the total moment   0.000 μB per cell
Calculated volume   94 Å³/cell
Density of states at the Fermi level   1.60 states/eV/cell
Total energy   -4.871 eV/atom